Computed, not measured: ZrH3Ru after structural relaxation at the PBE level of DFT.

abc: 3.683 3.683 3.683
angles: 90.00 90.00 90.00
Each line ends with the local moment (μB).
Sites, in units of the cell vectors:
Zr 0.000 0.000 0.000  -0.08
H 0.000 0.000 0.500  0.01
H 0.500 0.000 0.000  0.01
H 0.000 0.500 0.000  0.01
Ru 0.500 0.500 0.500  1.44

- Calculated total energy: -5.2160 eV/atom
- Size of the total moment: 1.4 μB per formula unit

---

Computed, not measured: ZrH2Ru after structural relaxation at the PBE level of DFT.

abc: 3.880 3.880 3.880
angles: 60.00 60.00 60.00
Sites, in units of the cell vectors:
Zr 0.000 0.000 0.000
H 0.750 0.750 0.750
H 0.250 0.250 0.250
Ru 0.500 0.500 0.500

- Calculated total energy: -6.0004 eV/atom
- ΔE to the lowest computed polymorph: 47.5 kJ/mol of atoms
- Size of the total moment: 0.0 μB per formula unit

---

Computed, not measured: ZrH2Ru after structural relaxation at the PBE level of DFT.

abc: 4.658 6.078 5.973
angles: 90.00 90.00 90.00
Sites, in units of the cell vectors:
Ru 0.974 0.044 0.691
H 0.482 0.168 0.090
H 0.832 0.495 0.088
Ru 0.474 0.956 0.309
H 0.332 0.005 0.588
Zr 0.984 0.166 0.130
H 0.832 0.995 0.412
H 0.982 0.832 0.910
Zr 0.484 0.834 0.870
Ru 0.974 0.544 0.809
H 0.982 0.332 0.590
Zr 0.484 0.334 0.630
Zr 0.984 0.666 0.370
H 0.332 0.505 0.912
Ru 0.474 0.456 0.191
H 0.482 0.668 0.410

- Calculated total energy: -6.4932 eV/atom
- ΔE to the lowest computed polymorph: 0.0 kJ/mol of atoms
- Size of the total moment: 0.0 μB per formula unit

---

Computed, not measured: ZrH3Ru after structural relaxation at the PBE level of DFT.

abc: 3.772 4.483 5.659
angles: 90.00 70.49 90.00
Sites, in units of the cell vectors:
H 0.218 0.952 0.283
Ru 0.100 0.688 0.518
H 0.807 0.452 0.103
H 0.934 0.804 0.851
Zr 0.652 0.159 0.415
Zr 0.374 0.659 0.971
Ru 0.926 0.188 0.867
H 0.601 0.675 0.517
H 0.425 0.175 0.868
H 0.092 0.304 0.535

- Calculated total energy: -5.9178 eV/atom
- Size of the total moment: 0.0 μB per formula unit

---

Computed, not measured: ZrHRu after structural relaxation at the PBE level of DFT.

abc: 3.179 3.209 8.433
angles: 112.33 100.86 90.00
Sites, in units of the cell vectors:
Zr 0.201 0.856 0.402
Ru 0.822 0.597 0.643
H 0.024 0.003 0.047
H 0.703 0.359 0.405
Ru 0.584 0.123 0.169
Zr 0.433 0.320 0.866

- Calculated total energy: -7.3704 eV/atom
- Size of the total moment: 0.0 μB per formula unit

---

Computed, not measured: Zr3HRu after structural relaxation at the PBE level of DFT.

abc: 5.043 5.043 5.043
angles: 90.00 90.00 90.00
Each line ends with the local moment (μB).
Sites, in units of the cell vectors:
Zr 0.000 0.500 0.000  0.25
Zr 0.000 0.000 0.500  0.16
H 0.500 0.500 0.500  -0.01
Ru 0.000 0.000 0.000  -0.05
Zr 0.500 0.000 0.000  0.46

- Calculated total energy: -6.7454 eV/atom
- ΔE to the lowest computed polymorph: 99.7 kJ/mol of atoms
- Size of the total moment: 1.4 μB per formula unit

---

Computed, not measured: Zr2H6Ru after structural relaxation at the PBE level of DFT.

abc: 3.302 4.536 5.745
angles: 113.25 106.82 90.00
Each line ends with the local moment (μB).
Sites, in units of the cell vectors:
H 0.500 0.794 0.000  0.00
H 0.839 0.072 0.677  0.00
Zr 0.663 0.664 0.327  0.01
H 0.839 0.606 0.677  0.00
Zr 0.337 0.336 0.673  0.01
Ru 0.000 0.000 0.000  0.18
H 0.500 0.206 0.000  0.00
H 0.161 0.928 0.323  0.00
H 0.161 0.394 0.323  0.00

- Calculated total energy: -5.4874 eV/atom
- Size of the total moment: 0.2 μB per formula unit

---

Computed, not measured: Zr3HRu after structural relaxation at the PBE level of DFT.

abc: 4.367 4.367 4.367
angles: 90.00 90.00 90.00
Sites, in units of the cell vectors:
H 0.000 0.000 0.000
Zr 0.000 0.000 0.500
Ru 0.500 0.500 0.500
Zr 0.000 0.500 0.000
Zr 0.500 0.000 0.000

- Calculated total energy: -7.7783 eV/atom
- ΔE to the lowest computed polymorph: 0.0 kJ/mol of atoms
- Size of the total moment: 0.0 μB per formula unit